1.
# AuSBrCl2 | Alexandria via LeMat-Bulk | GGA-PBE | relaxed
# Magnetic moment, μB/cell: 0.000
# Energy above the most stable polymorph in this dataset, meV per atom: 390
data_AuSBrCl2
_cell_length_a 5.164
_cell_length_b 5.164
_cell_length_c 4.907
_cell_angle_alpha 90.00
_cell_angle_beta 90.00
_cell_angle_gamma 90.00
_space_group_name_H-M_alt 'P 4/m m m'
_space_group_IT_number 123
_space_group_name_Hall '-P 4 2'
loop_
_atom_site_label
_atom_site_type_symbol
_atom_site_fract_x
_atom_site_fract_y
_atom_site_fract_z
Au1 Au 0.000 0.000 0.000
S1 S 0.500 0.500 0.000
Br1 Br 0.500 0.500 0.500
Cl1 Cl 0.000 0.500 0.500

=====

2.
# AuSe2BrCl | Alexandria via LeMat-Bulk | GGA-PBE | relaxed
# Magnetic moment, μB/cell: 3.245
# Energy above the most stable polymorph in this dataset, meV per atom: 0
data_AuSe2BrCl
_cell_length_a 5.237
_cell_length_b 5.237
_cell_length_c 5.210
_cell_angle_alpha 90.00
_cell_angle_beta 90.00
_cell_angle_gamma 90.00
_space_group_name_H-M_alt 'P 4/m m m'
_space_group_IT_number 123
_space_group_name_Hall '-P 4 2'
loop_
_atom_site_label
_atom_site_type_symbol
_atom_site_fract_x
_atom_site_fract_y
_atom_site_fract_z
Au1 Au 0.000 0.000 0.000
Se1 Se 0.000 0.500 0.000
Br1 Br 0.000 0.000 0.500
Cl1 Cl 0.500 0.500 0.500

=====

3.
# AuSe2BrCl | Alexandria via LeMat-Bulk | GGA-PBE | relaxed
# Magnetic moment, μB/cell: 0.000
# Energy above the most stable polymorph in this dataset, meV per atom: 452
data_AuSe2BrCl
_cell_length_a 4.991
_cell_length_b 4.991
_cell_length_c 5.208
_cell_angle_alpha 90.00
_cell_angle_beta 90.00
_cell_angle_gamma 90.00
_space_group_name_H-M_alt 'P 4/m m m'
_space_group_IT_number 123
_space_group_name_Hall '-P 4 2'
loop_
_atom_site_label
_atom_site_type_symbol
_atom_site_fract_x
_atom_site_fract_y
_atom_site_fract_z
Au1 Au 0.000 0.000 0.000
Se1 Se 0.000 0.500 0.500
Br1 Br 0.500 0.500 0.000
Cl1 Cl 0.500 0.500 0.500

=====

4.
# Tc2AuBrCl | Alexandria via LeMat-Bulk | GGA-PBE | relaxed
# Magnetic moment, μB/cell: 8.210
# Electronic total energy, eV per atom: -4.086
data_Tc2AuBrCl
_cell_length_a 5.300
_cell_length_b 5.300
_cell_length_c 4.922
_cell_angle_alpha 90.00
_cell_angle_beta 90.00
_cell_angle_gamma 90.00
_space_group_name_H-M_alt 'P 4/m m m'
_space_group_IT_number 123
_space_group_name_Hall '-P 4 2'
loop_
_atom_site_label
_atom_site_type_symbol
_atom_site_fract_x
_atom_site_fract_y
_atom_site_fract_z
Tc1 Tc 0.000 0.500 0.000
Au1 Au 0.000 0.000 0.000
Br1 Br 0.500 0.500 0.500
Cl1 Cl 0.000 0.000 0.500

=====

5.
# Tl4AuBr2Cl | Alexandria via LeMat-Bulk | GGA-PBE | relaxed
# Magnetic moment, μB/cell: 0.000
# Electronic total energy, eV per atom: -2.883
data_Tl4AuBr2Cl
_cell_length_a 9.068
_cell_length_b 9.336
_cell_length_c 12.997
_cell_angle_alpha 90.00
_cell_angle_beta 90.00
_cell_angle_gamma 90.00
_space_group_name_H-M_alt 'I m m a'
_space_group_IT_number 74
_space_group_name_Hall '-I 2b 2'
loop_
_atom_site_label
_atom_site_type_symbol
_atom_site_fract_x
_atom_site_fract_y
_atom_site_fract_z
Tl1 Tl 0.000 0.008 0.239
Tl2 Tl 0.234 0.250 0.004
Au1 Au 0.000 0.000 0.000
Br1 Br 0.000 0.000 0.500
Br2 Br 0.250 0.250 0.750
Cl1 Cl 0.250 0.250 0.250

=====

6.
# Co2AuBr | Alexandria via LeMat-Bulk | GGA-PBE | relaxed
# Magnetic moment, μB/cell: 4.178
# Energy above the most stable polymorph in this dataset, meV per atom: 0
data_Co2AuBr
_cell_length_a 3.184
_cell_length_b 3.660
_cell_length_c 6.357
_cell_angle_alpha 90.00
_cell_angle_beta 90.00
_cell_angle_gamma 90.00
_space_group_name_H-M_alt 'P m m m'
_space_group_IT_number 47
loop_
_space_group_symop_operation_xyz
'x,y,z'
'-x,-y,-z'
'-x,-y,z'
'x,y,-z'
'x,-y,-z'
'-x,y,z'
'-x,y,-z'
'x,-y,z'
loop_
_atom_site_label
_atom_site_type_symbol
_atom_site_fract_x
_atom_site_fract_y
_atom_site_fract_z
Co1 Co 0.000 0.000 0.178
Au1 Au 0.500 0.500 0.000
Br1 Br 0.500 0.000 0.500

=====

7.
# CoAu4Br | Alexandria via LeMat-Bulk | GGA-PBE | relaxed
# Magnetic moment, μB/cell: 8.706
# Electronic total energy, eV per atom: -3.135
data_CoAu4Br
_cell_length_a 7.856
_cell_length_b 7.856
_cell_length_c 7.856
_cell_angle_alpha 90.00
_cell_angle_beta 90.00
_cell_angle_gamma 90.00
_space_group_name_H-M_alt 'F -4 3 m'
_space_group_IT_number 216
_space_group_name_Hall 'F -4 2 3'
loop_
_atom_site_label
_atom_site_type_symbol
_atom_site_fract_x
_atom_site_fract_y
_atom_site_fract_z
Co1 Co 0.000 0.000 0.000
Au1 Au 0.125 0.125 0.625
Br1 Br 0.250 0.250 0.250

=====

8.
# CoAuBr | Alexandria via LeMat-Bulk | GGA-PBE | relaxed
# Magnetic moment, μB/cell: 8.548
# Energy above the most stable polymorph in this dataset, meV per atom: 591
data_CoAuBr
_cell_length_a 6.482
_cell_length_b 6.482
_cell_length_c 6.482
_cell_angle_alpha 90.00
_cell_angle_beta 90.00
_cell_angle_gamma 90.00
_space_group_name_H-M_alt 'F -4 3 m'
_space_group_IT_number 216
_space_group_name_Hall 'F -4 2 3'
loop_
_atom_site_label
_atom_site_type_symbol
_atom_site_fract_x
_atom_site_fract_y
_atom_site_fract_z
Co1 Co 0.000 0.000 0.000
Au1 Au 0.250 0.250 0.750
Br1 Br 0.000 0.000 0.500

=====

9.
# Co2AuBr | Alexandria via LeMat-Bulk | GGA-PBE | relaxed
# Magnetic moment, μB/cell: 4.002
# Energy above the most stable polymorph in this dataset, meV per atom: 173
data_Co2AuBr
_cell_length_a 3.285
_cell_length_b 3.285
_cell_length_c 6.330
_cell_angle_alpha 90.00
_cell_angle_beta 90.00
_cell_angle_gamma 90.00
_space_group_name_H-M_alt 'P 4/m m m'
_space_group_IT_number 123
_space_group_name_Hall '-P 4 2'
loop_
_atom_site_label
_atom_site_type_symbol
_atom_site_fract_x
_atom_site_fract_y
_atom_site_fract_z
Co1 Co 0.000 0.000 0.197
Au1 Au 0.500 0.500 0.000
Br1 Br 0.500 0.500 0.500

=====

10.
# Co2AuBr | Alexandria via LeMat-Bulk | GGA-PBE | relaxed
# Magnetic moment, μB/cell: 14.452
# Energy above the most stable polymorph in this dataset, meV per atom: 507
data_Co2AuBr
_cell_length_a 6.380
_cell_length_b 6.380
_cell_length_c 6.380
_cell_angle_alpha 90.00
_cell_angle_beta 90.00
_cell_angle_gamma 90.00
_space_group_name_H-M_alt 'F -4 3 m'
_space_group_IT_number 216
_space_group_name_Hall 'F -4 2 3'
loop_
_atom_site_label
_atom_site_type_symbol
_atom_site_fract_x
_atom_site_fract_y
_atom_site_fract_z
Co1 Co 0.000 0.000 0.000
Co2 Co 0.250 0.250 0.250
Au1 Au 0.000 0.000 0.500
Br1 Br 0.250 0.250 0.750

=====

11.
# Co2AuBr | Alexandria via LeMat-Bulk | GGA-PBE | relaxed
# Magnetic moment, μB/cell: 6.886
# Energy above the most stable polymorph in this dataset, meV per atom: 250
data_Co2AuBr
_cell_length_a 7.366
_cell_length_b 3.098
_cell_length_c 5.806
_cell_angle_alpha 90.00
_cell_angle_beta 102.05
_cell_angle_gamma 90.00
_space_group_name_H-M_alt 'C 1 2/m 1'
_space_group_IT_number 12
loop_
_space_group_symop_operation_xyz
'x,y,z'
'-x,-y,-z'
'-x,y,-z'
'x,-y,z'
'x+1/2,y+1/2,z'
'-x+1/2,-y+1/2,-z'
'-x+1/2,y+1/2,-z'
'x+1/2,-y+1/2,z'
loop_
_atom_site_label
_atom_site_type_symbol
_atom_site_fract_x
_atom_site_fract_y
_atom_site_fract_z
Co1 Co 0.250 0.000 0.225
Au1 Au 0.000 0.000 0.500
Br1 Br 0.000 0.500 0.000

=====

12.
# Co2AuBr | Alexandria via LeMat-Bulk | GGA-PBE | relaxed
# Magnetic moment, μB/cell: 3.897
# Energy above the most stable polymorph in this dataset, meV per atom: 15
data_Co2AuBr
_cell_length_a 3.174
_cell_length_b 3.174
_cell_length_c 6.956
_cell_angle_alpha 90.00
_cell_angle_beta 90.00
_cell_angle_gamma 90.00
_space_group_name_H-M_alt 'P 4 m m'
_space_group_IT_number 99
loop_
_space_group_symop_operation_xyz
'x,y,z'
'-y,x,z'
'-x,-y,z'
'y,-x,z'
'-x,y,z'
'y,x,z'
'x,-y,z'
'-y,-x,z'
loop_
_atom_site_label
_atom_site_type_symbol
_atom_site_fract_x
_atom_site_fract_y
_atom_site_fract_z
Co1 Co 0.000 0.000 0.000
Co2 Co 0.500 0.500 0.152
Au1 Au 0.000 0.000 0.374
Br1 Br 0.500 0.500 0.786